Record 1
Ba3Pm3TmS8: optimized geometry, PBE-GGA. Values from VASP.

Formation energy without anion corrections, eV/atom: -2.062
N(E_F), states/eV/cell: 3.58
Calculated volume, Å³ per cell: 430
Space group: R-3m, No. 166
Calculated total energy, eV/cell: -88.44

Cell and atoms, written as Quantum ESPRESSO input:
```
&SYSTEM
  ibrav = 0, nat = 15, ntyp = 4
/
ATOMIC_SPECIES
Ba 137.33 Ba.upf
Pm 145.00 Pm.upf
Tm 168.93 Tm.upf
S 32.06 S.upf
CELL_PARAMETERS angstrom
4.127 2.383 7.289
-4.127 2.383 7.289
0.000 -4.765 7.289
ATOMIC_POSITIONS crystal
Ba 0.000 0.500 0.500
Ba 0.500 0.000 0.500
Ba 0.500 0.500 0.000
Pm 0.000 0.000 0.500
Pm 0.000 0.500 0.000
Pm 0.500 0.000 0.000
Tm 0.500 0.500 0.500
S 0.240 0.240 0.240
S 0.248 0.730 0.730
S 0.270 0.270 0.752
S 0.270 0.752 0.270
S 0.730 0.248 0.730
S 0.730 0.730 0.248
S 0.752 0.270 0.270
S 0.760 0.760 0.760
```

=====

Record 2
Ba2PmTmS4: optimized geometry, PBE-GGA. Values from VASP.

Formation energy without anion corrections, eV/atom: -1.998
N(E_F), states/eV/cell: 3.61
Calculated volume, Å³ per cell: 212
Space group: P2/m, No. 10
Calculated total energy, eV/cell: -45.57

Cell and atoms, written as Quantum ESPRESSO input:
```
&SYSTEM
  ibrav = 0, nat = 8, ntyp = 4
/
ATOMIC_SPECIES
Ba 137.33 Ba.upf
Pm 145.00 Pm.upf
Tm 168.93 Tm.upf
S 32.06 S.upf
CELL_PARAMETERS angstrom
7.177 0.000 0.000
0.000 4.144 0.000
-2.390 0.000 7.134
ATOMIC_POSITIONS crystal
Ba 0.000 0.000 0.000
Ba 0.500 0.500 0.000
Pm 0.000 0.500 0.500
Tm 0.500 0.000 0.500
S 0.247 0.000 0.713
S 0.273 0.500 0.292
S 0.727 0.500 0.708
S 0.753 0.000 0.287
```

=====

Record 3
Ba3Pm3YS8: optimized geometry, PBE-GGA. Values from VASP.

Formation energy without anion corrections, eV/atom: -2.065
N(E_F), states/eV/cell: 3.59
Calculated volume, Å³ per cell: 432
Space group: R-3m, No. 166
Calculated total energy, eV/cell: -90.48

Cell and atoms, written as Quantum ESPRESSO input:
```
&SYSTEM
  ibrav = 0, nat = 15, ntyp = 4
/
ATOMIC_SPECIES
Ba 137.33 Ba.upf
Pm 145.00 Pm.upf
Y 88.91 Y.upf
S 32.06 S.upf
CELL_PARAMETERS angstrom
4.136 2.388 7.286
-4.136 2.388 7.286
0.000 -4.776 7.286
ATOMIC_POSITIONS crystal
Ba 0.000 0.500 0.500
Ba 0.500 0.000 0.500
Ba 0.500 0.500 0.000
Pm 0.000 0.000 0.500
Pm 0.000 0.500 0.000
Pm 0.500 0.000 0.000
Y 0.500 0.500 0.500
S 0.240 0.240 0.240
S 0.244 0.733 0.733
S 0.267 0.267 0.756
S 0.267 0.756 0.267
S 0.733 0.244 0.733
S 0.733 0.733 0.244
S 0.756 0.267 0.267
S 0.760 0.760 0.760
```

=====

Record 4
BaPmY4S8: optimized geometry, PBE-GGA. Values from VASP.

Formation energy without anion corrections, eV/atom: -1.971
N(E_F), states/eV/cell: 3.55
Calculated volume, Å³ per cell: 403
Space group: R3m, No. 160
Calculated total energy, eV/cell: -93.14

Cell and atoms, written as Quantum ESPRESSO input:
```
&SYSTEM
  ibrav = 0, nat = 14, ntyp = 4
/
ATOMIC_SPECIES
Ba 137.33 Ba.upf
Pm 145.00 Pm.upf
Y 88.91 Y.upf
S 32.06 S.upf
CELL_PARAMETERS angstrom
4.131 2.385 6.819
-4.131 2.385 6.819
0.000 -4.770 6.819
ATOMIC_POSITIONS crystal
Ba 0.000 0.000 0.000
Pm 0.628 0.628 0.628
Y 0.121 0.628 0.628
Y 0.251 0.251 0.251
Y 0.628 0.121 0.628
Y 0.628 0.628 0.121
S 0.380 0.380 0.857
S 0.380 0.857 0.380
S 0.384 0.384 0.384
S 0.428 0.863 0.863
S 0.857 0.380 0.380
S 0.858 0.858 0.858
S 0.863 0.428 0.863
S 0.863 0.863 0.428
```

=====

Record 5
Ba2PmYS4: optimized geometry, PBE-GGA. Values from VASP.

Formation energy without anion corrections, eV/atom: -2.017
N(E_F), states/eV/cell: 3.63
Calculated volume, Å³ per cell: 215
Space group: P2/m, No. 10
Calculated total energy, eV/cell: -47.71

Cell and atoms, written as Quantum ESPRESSO input:
```
&SYSTEM
  ibrav = 0, nat = 8, ntyp = 4
/
ATOMIC_SPECIES
Ba 137.33 Ba.upf
Pm 145.00 Pm.upf
Y 88.91 Y.upf
S 32.06 S.upf
CELL_PARAMETERS angstrom
7.212 0.000 0.000
0.000 4.172 0.000
-2.412 0.000 7.144
ATOMIC_POSITIONS crystal
Ba 0.000 0.000 0.000
Ba 0.500 0.500 0.000
Pm 0.000 0.500 0.500
Y 0.500 0.000 0.500
S 0.244 0.000 0.715
S 0.268 0.500 0.288
S 0.732 0.500 0.712
S 0.756 0.000 0.285
```

=====

Record 6
BaPm2ZnS5: optimized geometry, PBE-GGA. Values from VASP.

Formation energy without anion corrections, eV/atom: -1.788
Calculated volume, Å³ per cell: 424
Space group: I4/mcm, No. 140
Calculated total energy, eV/cell: -98.85

Cell and atoms, written as Quantum ESPRESSO input:
```
&SYSTEM
  ibrav = 0, nat = 18, ntyp = 4
/
ATOMIC_SPECIES
Ba 137.33 Ba.upf
Pm 145.00 Pm.upf
Zn 65.41 Zn.upf
S 32.06 S.upf
CELL_PARAMETERS angstrom
-3.934 3.934 6.846
3.934 -3.934 6.846
3.934 3.934 -6.846
ATOMIC_POSITIONS crystal
Ba 0.250 0.250 0.000
Ba 0.750 0.750 0.000
Pm 0.162 0.662 0.824
Pm 0.338 0.162 0.500
Pm 0.662 0.838 0.500
Pm 0.838 0.338 0.176
Zn 0.250 0.750 0.500
Zn 0.750 0.250 0.500
S 0.000 0.000 0.000
S 0.016 0.219 0.500
S 0.219 0.719 0.203
S 0.281 0.484 0.500
S 0.484 0.984 0.203
S 0.500 0.500 0.000
S 0.516 0.016 0.797
S 0.719 0.516 0.500
S 0.781 0.281 0.797
S 0.984 0.781 0.500
```

=====

Record 7
Ba2PmZnS5: optimized geometry, PBE-GGA. Values from VASP.

Formation energy without anion corrections, eV/atom: -1.596
N(E_F), states/eV/cell: 1.31
Calculated volume, Å³ per cell: 485
Space group: Cmc2_1, No. 36
Calculated total energy, eV/cell: -89.75

Cell and atoms, written as Quantum ESPRESSO input:
```
&SYSTEM
  ibrav = 0, nat = 18, ntyp = 4
/
ATOMIC_SPECIES
Ba 137.33 Ba.upf
Pm 145.00 Pm.upf
Zn 65.41 Zn.upf
S 32.06 S.upf
CELL_PARAMETERS angstrom
2.117 -8.680 0.000
2.117 8.680 0.000
0.000 0.000 13.205
ATOMIC_POSITIONS crystal
Ba 0.113 0.887 0.500
Ba 0.137 0.863 0.164
Ba 0.863 0.137 0.664
Ba 0.887 0.113 0.000
Pm 0.176 0.824 0.839
Pm 0.824 0.176 0.339
Zn 0.465 0.535 0.231
Zn 0.535 0.465 0.731
S 0.013 0.987 0.814
S 0.323 0.677 0.484
S 0.330 0.670 0.188
S 0.331 0.669 0.838
S 0.481 0.519 0.568
S 0.519 0.481 0.068
S 0.669 0.331 0.338
S 0.670 0.330 0.688
S 0.677 0.323 0.984
S 0.987 0.013 0.314
```

=====

Record 8
BaPmSb2: optimized geometry, PBE-GGA. Values from VASP.

Formation energy without anion corrections, eV/atom: -0.875
N(E_F), states/eV/cell: 2.34
Calculated volume, Å³ per cell: 133
Space group: P4/mmm, No. 123
Offset from the most stable computed form, eV per atom: 0.089
Calculated total energy, eV/cell: -18.42

Cell and atoms, written as Quantum ESPRESSO input:
```
&SYSTEM
  ibrav = 0, nat = 4, ntyp = 3
/
ATOMIC_SPECIES
Ba 137.33 Ba.upf
Pm 145.00 Pm.upf
Sb 121.76 Sb.upf
CELL_PARAMETERS angstrom
3.939 0.000 0.000
0.000 3.939 0.000
0.000 0.000 8.553
ATOMIC_POSITIONS crystal
Ba 0.000 0.000 0.000
Pm 0.000 0.000 0.500
Sb 0.500 0.500 0.280
Sb 0.500 0.500 0.720
```

=====

Among the records above, which one has the lowest calculated volume?
BaPmSb2

=====

calculated volume of number 8 (BaPmSb2)?
133 Å³ per cell

=====

What did the fourth record say?
BaPmY4S8: optimized geometry, PBE-GGA. Values from VASP.

Formation energy without anion corrections, eV/atom: -1.971
N(E_F), states/eV/cell: 3.55
Calculated volume, Å³ per cell: 403
Space group: R3m, No. 160
Calculated total energy, eV/cell: -93.14

Cell and atoms, written as Quantum ESPRESSO input:
```
&SYSTEM
  ibrav = 0, nat = 14, ntyp = 4
/
ATOMIC_SPECIES
Ba 137.33 Ba.upf
Pm 145.00 Pm.upf
Y 88.91 Y.upf
S 32.06 S.upf
CELL_PARAMETERS angstrom
4.131 2.385 6.819
-4.131 2.385 6.819
0.000 -4.770 6.819
ATOMIC_POSITIONS crystal
Ba 0.000 0.000 0.000
Pm 0.628 0.628 0.628
Y 0.121 0.628 0.628
Y 0.251 0.251 0.251
Y 0.628 0.121 0.628
Y 0.628 0.628 0.121
S 0.380 0.380 0.857
S 0.380 0.857 0.380
S 0.384 0.384 0.384
S 0.428 0.863 0.863
S 0.857 0.380 0.380
S 0.858 0.858 0.858
S 0.863 0.428 0.863
S 0.863 0.863 0.428
```

=====

formation energy without anion corrections of number 8 (BaPmSb2)?
-0.875 eV/atom